Entry from Alexandria: a relaxed structure of NaLa2InO (PBE-GGA).

Values from the calculation:
M_tot = 1.093 Bohr magnetons per cell
excess energy over the best structure of this formula in the dataset = 1177 meV/atom
space-group type = No. 123
uncorrected formation energy = -0.12 eV per atom

Cell and atoms, written as CIF:
```
data_NaLa2InO
_symmetry_space_group_name_H-M 'P 1'
_symmetry_Int_Tables_number 1
_cell_length_a 5.965
_cell_length_b 3.868
_cell_length_c 5.965
_cell_angle_alpha 90.00
_cell_angle_beta 90.00
_cell_angle_gamma 90.00
loop_
_symmetry_equiv_pos_as_xyz
'x,y,z'
loop_
_atom_site_label
_atom_site_type_symbol
_atom_site_fract_x
_atom_site_fract_y
_atom_site_fract_z
O1 O 0.000 0.500 0.000
La1 La 0.000 0.000 0.500
La2 La 0.500 0.000 0.000
In1 In 0.500 0.500 0.500
Na1 Na 0.000 0.000 0.000
```